Here is a relaxed PmHoAs2Rh5 crystal from the Alexandria database. Energies are from PBE.

Unit cell a=4.2623 b=4.2623 c=8.8150 alpha=90.00 beta=90.00 gamma=90.00
Last column: nearest neighbours and their distance in Å.
Element x y z (fractional)
Pm 0.0000 0.0000 0.5000  12 Rh 2.98-3.01
Ho 0.0000 0.0000 0.0000  8 Rh 3.15, 8 As 3.28
As 0.5000 0.5000 0.1455  4 Rh 2.37, 1 As 2.56
As 0.5000 0.5000 0.8545  4 Rh 2.37, 1 As 2.56
Rh 0.0000 0.5000 0.2630  2 As 2.37
Rh 0.5000 0.0000 0.2630  2 As 2.37
Rh 0.0000 0.5000 0.7370  2 As 2.37
Rh 0.5000 0.0000 0.7370  2 As 2.37
Rh 0.5000 0.5000 0.5000  8 Rh 2.98, 4 Pm 3.01, 2 As 3.13

**ΔH_f (0 K)**: -750 meV per atom
**SG**: P4/mmm

---

Here is a relaxed TlSeCl2 crystal from the Alexandria database. Energies are from PBE.

Unit cell a=4.2239 b=4.3664 c=6.3976 alpha=76.53 beta=90.00 gamma=90.00
Last column: nearest neighbours and their distance in Å.
Element x y z (fractional)
Tl 0.5000 0.7500 0.7500  2 Se 3.43, 8 Cl 3.45-3.57
Se 0.5000 0.2500 0.2500  4 Cl 2.65
Cl 0.0000 0.1322 0.0321  2 Se 2.65
Cl 0.0000 0.3678 0.4679  2 Se 2.65

**SG**: P2/m
**Raw formation energy**: -1.02 eV per formula unit

---

Here is a relaxed Pm5Ir2Pb2 crystal from the Alexandria database. Energies are from PBE.

Unit cell a=7.3784 b=8.6401 c=9.1298 alpha=118.24 beta=90.00 gamma=90.00
Last column: nearest neighbours and their distance in Å.
Element x y z (fractional)
Pm 0.0000 0.0000 0.0000  2 Ir 2.91
Pm 0.5000 0.5000 0.0000  2 Ir 2.91
Pm 0.8478 0.7992 0.2363  2 Ir 2.88-3.00
Pm 0.1522 0.4371 0.2363  2 Ir 2.88-3.00
Pm 0.3478 0.9371 0.2363  2 Ir 2.88-3.00
Pm 0.6522 0.2992 0.2363  2 Ir 2.88-3.00
Pm 0.1522 0.2008 0.7637  2 Ir 2.88-3.00
Pm 0.8478 0.5629 0.7637  2 Ir 2.88-3.00
Pm 0.6522 0.0629 0.7637  2 Ir 2.88-3.00
Pm 0.3478 0.7008 0.7637  2 Ir 2.88-3.00
Ir 0.6331 0.8778 0.0000  5 Pm 2.88-3.00, 1 Ir 2.88
Ir 0.3669 0.1222 0.0000  5 Pm 2.88-3.00, 1 Ir 2.88
Ir 0.1331 0.6222 0.0000  5 Pm 2.88-3.00, 1 Ir 2.88
Ir 0.8669 0.3778 0.0000  5 Pm 2.88-3.00, 1 Ir 2.88
Pb 0.0000 0.2150 0.4300  7 Pm 3.30-3.46
Pb 0.5000 0.7150 0.4300  7 Pm 3.30-3.46
Pb 0.0000 0.7850 0.5700  7 Pm 3.30-3.46
Pb 0.5000 0.2850 0.5700  7 Pm 3.30-3.46

**ΔH_f (0 K)**: -587 meV per atom
**SG**: Cmce

---

Number 1: size of the total moment 0.00 μB/f.u.. Number 2: size of the total moment 0.00 μB/f.u.. Number 3: size of the total moment 0.00 μB/f.u..